! RbGa2I8 (GGA-PBE, optimized geometry); values from VASP
! DOS at the Fermi energy: 0.09 states/eV/atom
! polymorph energy (0 for the lowest one): 0.0 kJ per mole of atoms
! theoretical density: 2.83 g/cm³
! space-group type: C2/m (12)
! ΔE_f (raw): -0.60 eV/atom
&SYSTEM
  ibrav = 0, nat = 11, ntyp = 3
/
ATOMIC_SPECIES
Rb 85.47 Rb.upf
Ga 69.72 Ga.upf
I 126.90 I.upf
ATOMIC_POSITIONS angstrom
Rb 0.000 0.000 0.000
Ga 1.124 0.000 5.011
Ga 10.433 0.000 1.473
I -0.288 2.135 5.201
I 2.585 0.000 2.893
I -0.288 -2.135 5.201
I 5.846 0.000 0.671
I 5.711 0.000 5.813
I 11.845 2.135 1.283
I 8.972 0.000 3.591
I 11.845 -2.135 1.283
CELL_PARAMETERS angstrom
7.336 -7.638 0.000
7.336 7.638 0.000
-3.115 0.000 6.484